# 1
Density functional theory data (PBE) for a relaxed structure of CeNd3Zn8.

Calculated values
- density of states at the Fermi level (states/eV/f.u.) = 8.2
- excess energy over the best structure of this formula in the dataset (meV per atom) = 0
- density (Mg/m³) = 7.495

Geometry as POSCAR:
```
CeNd3Zn8
1.0
2.780 1.605 9.073
-2.780 1.605 9.073
0.000 -3.210 9.073
Ce Nd Zn
1 3 8
direct
0.000 0.000 0.000
0.373 0.373 0.373
0.500 0.500 0.500
0.876 0.876 0.876
0.187 0.187 0.187
0.437 0.437 0.938
0.437 0.938 0.437
0.438 0.937 0.937
0.687 0.687 0.687
0.937 0.438 0.937
0.937 0.937 0.438
0.938 0.437 0.437
```

# 2
Density functional theory data (PBE) for a relaxed structure of CeNd5Zn4.

Calculated values
- density of states at the Fermi level (states/eV/f.u.) = 13.4
- density (Mg/m³) = 7.060

Geometry as POSCAR:
```
CeNd5Zn4
1.0
3.662 0.000 0.000
0.000 3.662 0.000
0.000 0.000 19.701
Ce Nd Zn
1 5 4
direct
0.000 0.000 0.000
0.500 0.500 0.124
0.500 0.500 0.313
0.500 0.500 0.500
0.500 0.500 0.687
0.500 0.500 0.876
0.000 0.000 0.216
0.000 0.000 0.406
0.000 0.000 0.594
0.000 0.000 0.784
```

# 3
Density functional theory data (PBE) for a relaxed structure of CeNd2Zn.

Calculated values
- density of states at the Fermi level (states/eV/f.u.) = 6.9
- excess energy over the best structure of this formula in the dataset (meV per atom) = 131
- density (Mg/m³) = 6.832

Geometry as POSCAR:
```
CeNd2Zn
1.0
1.806 1.042 10.631
-1.806 1.042 10.631
0.000 -2.085 10.631
Ce Nd Zn
1 2 1
direct
0.000 0.000 0.000
0.574 0.574 0.574
0.761 0.761 0.761
0.167 0.167 0.167
```

# 4
Density functional theory data (PBE) for a relaxed structure of CeNd2Zn.

Calculated values
- density of states at the Fermi level (states/eV/f.u.) = 8.1
- excess energy over the best structure of this formula in the dataset (meV per atom) = 208
- density (Mg/m³) = 7.530

Geometry as POSCAR:
```
CeNd2Zn
1.0
0.000 3.791 3.791
3.791 0.000 3.791
3.791 3.791 0.000
Ce Nd Zn
1 2 1
direct
0.000 0.000 0.000
0.250 0.250 0.250
0.750 0.750 0.750
0.500 0.500 0.500
```

| no. | formation enthalpy at 0 K (meV/atom) | calculated volume (Å³ per cell) |
| --- | --- | --- |
| 1 | -307 | 242.9 |
| 2 | -224 | 264.1 |
| 3 | 30 | 120.1 |
| 4 | 107 | 108.9 |